{
  "formula": "ZrFe2",
  "functional": "PBE-GGA",
  "state": "optimized geometry",
  "cell": [[3.792, 5.167, -2.200], [-5.408, -2.614, 3.137], [2.133, 0.000, 3.678]],
  "species": ["Zr", "Zr", "Fe", "Fe", "Fe", "Fe"],
  "fractional_positions": [[0.411, 0.589, 0.750], [0.589, 0.411, 0.250], [0.740, 0.260, 0.750], [0.909, 0.091, 0.250], [0.091, 0.909, 0.750], [0.260, 0.740, 0.250]],
  "formation_enthalpy_0k_kj_per_mol_fu": -12,
  "rho_g_cm3": 7.60
}